1.
Material: NaB2Pd8
Method: DFT, PBE
State: optimized geometry

Geometry as POSCAR:
```
NaB2Pd8
1.0
-1.888 1.622 3.650
4.251 -3.617 2.841
2.561 5.347 -2.019
Pd B Na
8 2 1
Direct
0.714 0.397 0.397
0.088 0.334 0.066
0.500 0.740 0.260
0.912 0.934 0.666
0.500 0.260 0.740
0.088 0.066 0.334
0.286 0.603 0.603
0.912 0.666 0.934
0.000 0.686 0.314
0.000 0.314 0.686
0.500 0.000 0.000
```

formation energy from the elements: -80 meV/atom
symmetry: C2/m, No. 12
N(E_F): 0.6079 states/eV per atom

---

2.
Material: V4HW
Method: DFT, PBE
State: optimized geometry

Geometry as POSCAR:
```
V4HW
1.0
4.467 0.065 2.965
0.420 4.257 -0.764
0.067 -0.840 7.881
W V H
2 8 2
Direct
0.251 0.798 0.600
0.749 0.202 0.400
0.245 0.614 0.200
0.766 0.997 0.996
0.756 0.799 0.593
0.234 0.003 0.004
0.755 0.386 0.800
0.244 0.201 0.407
0.245 0.396 0.802
0.755 0.604 0.198
0.389 0.209 0.144
0.611 0.791 0.856
```

symmetry: P-1, No. 2
electronic total energy: -106.6 eV for the cell shown
N(E_F): 1.1148 states/eV per atom

---

3.
Material: PmNdInN3
Method: DFT, PBE
State: optimized geometry

Geometry as POSCAR:
```
PmNdInN3
1.0
-2.237 -2.682 0.119
3.701 -3.243 -3.514
3.242 -2.348 8.027
N In Nd Pm
6 2 2 2
Direct
0.250 0.955 0.832
0.250 0.462 0.834
0.750 0.538 0.166
0.750 0.045 0.168
0.750 0.252 0.513
0.250 0.748 0.487
0.250 0.151 0.640
0.750 0.849 0.360
0.250 0.338 0.310
0.750 0.662 0.690
0.750 0.238 0.948
0.250 0.762 0.052
```

symmetry: P2_1/m, No. 11
raw formation energy: -0.817 eV/atom
N(E_F): 0.0051 states/eV per atom

---

4.
Material: Cs2Rb4AlSb2
Method: DFT, PBE
State: optimized geometry

Geometry as POSCAR:
```
Cs2Rb4AlSb2
1.0
6.360 0.688 0.468
2.153 9.294 0.838
2.153 4.192 8.337
Cs Rb Sb Al
2 4 2 1
Direct
0.356 0.643 0.643
0.644 0.357 0.357
0.869 0.912 0.349
0.131 0.651 0.088
0.131 0.088 0.651
0.869 0.349 0.912
0.675 0.826 0.826
0.325 0.174 0.174
0.500 0.000 0.000
```

symmetry: C2/m, No. 12
raw formation energy: -0.128 eV/atom
N(E_F): 0.6956 states/eV per atom

---

5.
Material: Er2Si3Rh5
Method: DFT, PBE
State: optimized geometry

Geometry as POSCAR:
```
Er2Si3Rh5
1.0
-0.823 -1.839 -3.495
1.098 -5.817 2.802
-11.207 0.221 4.852
Rh Si Er
10 6 4
Direct
0.293 0.937 0.585
0.943 0.091 0.886
0.057 0.591 0.114
0.599 0.898 0.197
0.871 0.725 0.741
0.129 0.225 0.259
0.401 0.398 0.803
0.707 0.437 0.415
0.710 0.023 0.419
0.290 0.523 0.581
0.611 0.508 0.222
0.389 0.008 0.778
0.048 0.960 0.097
0.229 0.230 0.457
0.771 0.730 0.543
0.952 0.460 0.903
0.825 0.242 0.649
0.480 0.751 0.960
0.175 0.742 0.351
0.520 0.251 0.040
```

symmetry: Cmc2_1, No. 36
raw formation energy: -0.964 eV/atom
N(E_F): 0.4404 states/eV per atom

---

6.
Material: RbPrSeO
Method: DFT, PBE
State: optimized geometry

Geometry as POSCAR:
```
RbPrSeO
1.0
3.999 0.000 0.000
1.999 3.463 0.000
1.999 1.154 7.501
Rb Se Pr O
1 1 1 1
Direct
0.505 0.505 0.486
0.735 0.735 0.795
0.985 0.985 0.046
0.276 0.276 0.173
```

symmetry: R3m, No. 160
raw formation energy: -2.022 eV/atom
N(E_F): 0.0000 states/eV per atom

---

7.
Material: ZnCoHg2Se
Method: DFT, PBE
State: optimized geometry

Geometry as POSCAR:
```
ZnCoHg2Se
1.0
5.731 0.000 0.000
0.000 4.365 0.000
0.000 0.000 5.731
Zn Hg Co Se
1 2 1 1
Direct
0.500 0.500 0.500
0.000 0.000 0.500
0.500 0.000 0.000
0.000 0.500 0.000
0.000 0.000 0.000
```

symmetry: P4/mmm, No. 123
raw formation energy: 0.553 eV/atom
N(E_F): 0.7202 states/eV per atom

---

8.
Material: ScSb2Ir
Method: DFT, PBE
State: optimized geometry

Geometry as POSCAR:
```
ScSb2Ir
1.0
4.466 0.000 0.000
0.000 4.466 0.000
2.233 2.233 9.232
Sb Ir Sc
4 2 2
Direct
0.875 0.902 0.750
0.375 0.348 0.750
0.098 0.625 0.250
0.652 0.125 0.250
0.750 0.250 0.500
0.000 0.000 0.000
0.500 0.500 0.000
0.250 0.750 0.500
```

symmetry: I-42d, No. 122
raw formation energy: -0.172 eV/atom
N(E_F): 0.4076 states/eV per atom